RbLaPS2 | PBE | relaxed

Calculated values
The calculation puts the raw formation energy at -294 kJ/mol of formula units. The calculation puts the density of states at the Fermi level at 4.94 states/eV/cell. The value obtained for the polymorph energy (0 for the lowest one) is 0 meV per atom.

Cell lengths 5.600, 5.600, 5.914 Å; angles 90.00, 90.00, 90.00 degrees
Space group P4/mmm (No. 123)
Asymmetric unit:
Rb  0.000  0.000  0.000 [1 per cell]
La  0.500  0.500  0.500 [1 per cell]
P  0.500  0.500  0.000 [1 per cell]
S  0.000  0.500  0.500 [2 per cell]



RbLaZn2P | PBE | relaxed

Calculated values
The calculation puts the density of states at the Fermi level at 3.12 states/eV/cell. The value obtained for the calculated total energy is -2.68 eV/atom.

Cell lengths 5.155, 5.155, 5.562 Å; angles 90.00, 90.00, 90.00 degrees
Space group P4/mmm (No. 123)
Asymmetric unit:
Rb  0.000  0.000  0.000 [1 per cell]
La  0.500  0.500  0.000 [1 per cell]
Zn  0.000  0.500  0.500 [2 per cell]
P  0.500  0.500  0.500 [1 per cell]



RbLaZnP2 | PBE | relaxed

Calculated values
The calculation puts the density of states at the Fermi level at 3.96 states/eV/cell. The value obtained for the calculated total energy is -2.19 eV/atom.

Cell lengths 5.475, 5.475, 5.643 Å; angles 90.00, 90.00, 90.00 degrees
Space group P4/mmm (No. 123)
Asymmetric unit:
Rb  0.000  0.000  0.000 [1 per cell]
La  0.000  0.000  0.500 [1 per cell]
Zn  0.500  0.500  0.500 [1 per cell]
P  0.000  0.500  0.000 [2 per cell]



La2ReP | PBE | relaxed

Calculated values
The calculation puts the density of states at the Fermi level at 6.13 states/eV/cell. The value obtained for the calculated total energy is -7.32 eV/atom.

Cell lengths 3.583, 4.618, 11.802 Å; angles 90.00, 90.00, 90.00 degrees
Space group Imm2 (No. 44)
Asymmetric unit:
La  0.000  0.000  0.000 [2 per cell]
La  0.000  0.500  0.235 [2 per cell]
Re  0.000  0.000  0.460 [2 per cell]
P  0.000  0.500  0.822 [2 per cell]



La2ReP | PBE | relaxed

Calculated values
The calculation puts the density of states at the Fermi level at 7.44 states/eV/cell. The value obtained for the calculated total energy is -6.89 eV/atom.

Cell lengths 4.286, 4.286, 10.141 Å; angles 90.00, 90.00, 90.00 degrees
Space group I-4m2 (No. 119)
Asymmetric unit:
La  0.000  0.000  0.000 [2 per cell]
La  0.000  0.500  0.250 [2 per cell]
Re  0.000  0.000  0.500 [2 per cell]
P  0.000  0.500  0.750 [2 per cell]



LaRe3P | PBE | relaxed

Calculated values
The calculation puts the density of states at the Fermi level at 5.74 states/eV/cell. The value obtained for the polymorph energy (0 for the lowest one) is 2820 meV per atom.

Cell lengths 4.823, 4.823, 4.823 Å; angles 90.00, 90.00, 90.00 degrees
Space group Pm-3m (No. 221)
Asymmetric unit:
La  0.000  0.000  0.000 [1 per cell]
Re  0.000  0.000  0.500 [3 per cell]
P  0.500  0.500  0.500 [1 per cell]